Entry from the Alexandria database: a geometry-optimized TbYHo2Tm5 structure (GGA-PBE).

## Properties
Space group ... Cmc2_1, No. 36
Mass density ... 8.28 g/cm3
DFT formation energy ... 165 meV/atom

a b c (Å): 10.205 10.205 10.477
angles (deg): 90.00 90.00 148.49
Sites, in units of the cell vectors:
Tb (0.200, 0.800, 0.500)
Tb (0.800, 0.200, 0.000)
Y (0.414, 0.586, 0.943)
Y (0.586, 0.414, 0.443)
Ho (0.110, 0.890, 0.225)
Ho (0.113, 0.887, 0.807)
Ho (0.887, 0.113, 0.307)
Ho (0.890, 0.110, 0.725)
Tm (0.018, 0.982, 0.514)
Tm (0.281, 0.719, 0.795)
Tm (0.301, 0.699, 0.198)
Tm (0.391, 0.609, 0.511)
Tm (0.478, 0.522, 0.225)
Tm (0.522, 0.478, 0.725)
Tm (0.609, 0.391, 0.011)
Tm (0.699, 0.301, 0.698)
Tm (0.719, 0.281, 0.295)
Tm (0.982, 0.018, 0.014)